Record 1
Material: PmHoTe
Method: DFT, PBE
State: relaxed

The structure in CIF format:
```
data_PmHoTe
_chemical_formula_sum 'Pm2 Ho2 Te2'
_symmetry_space_group_name_H-M 'I 4 m m'
_symmetry_Int_Tables_number 107
_symmetry_space_group_name_Hall 'I 4 -2'
_cell_length_a 3.9101
_cell_length_b 3.9101
_cell_length_c 11.7062
_cell_angle_alpha 90.00
_cell_angle_beta 90.00
_cell_angle_gamma 90.00
loop_
_atom_site_label
_atom_site_fract_x
_atom_site_fract_y
_atom_site_fract_z
Pm1 0.0000 0.0000 0.0000
Ho1 0.0000 0.0000 0.6904
Te1 0.0000 0.0000 0.3341
```

Computed properties:
energy = -29.61 eV for the cell shown

Record 2
Material: PmHoTe
Method: DFT, PBE
State: relaxed

The structure in CIF format:
```
data_PmHoTe
_chemical_formula_sum 'Pm8 Ho8 Te8'
_symmetry_space_group_name_H-M 'C 1 2/m 1'
_symmetry_Int_Tables_number 12
_cell_length_a 16.7459
_cell_length_b 4.0303
_cell_length_c 11.1677
_cell_angle_alpha 90.00
_cell_angle_beta 93.03
_cell_angle_gamma 90.00
loop_
_symmetry_equiv_pos_as_xyz
'x,y,z'
'-x,-y,-z'
'-x,y,-z'
'x,-y,z'
'x+1/2,y+1/2,z'
'-x+1/2,-y+1/2,-z'
'-x+1/2,y+1/2,-z'
'x+1/2,-y+1/2,z'
loop_
_atom_site_label
_atom_site_fract_x
_atom_site_fract_y
_atom_site_fract_z
Pm1 0.0242 0.0000 0.3517
Pm2 0.1148 0.5000 0.8398
Ho1 0.1919 0.0000 0.0801
Ho2 0.2491 0.5000 0.3357
Te1 0.0738 0.5000 0.1570
Te2 0.1194 0.5000 0.5419
```

Computed properties:
energy = -117.94 eV for the cell shown

Record 3
Material: PmHo2Te
Method: DFT, PBE
State: relaxed

The structure in CIF format:
```
data_PmHo2Te
_chemical_formula_sum 'Pm3 Ho6 Te3'
_symmetry_space_group_name_H-M 'R 3 m'
_symmetry_Int_Tables_number 160
_symmetry_space_group_name_Hall 'R 3 -2"'
_cell_length_a 3.8821
_cell_length_b 3.8821
_cell_length_c 29.6241
_cell_angle_alpha 90.00
_cell_angle_beta 90.00
_cell_angle_gamma 120.00
loop_
_atom_site_label
_atom_site_fract_x
_atom_site_fract_y
_atom_site_fract_z
Pm1 0.0000 0.0000 0.0000
Ho1 0.0000 0.0000 0.2375
Ho2 0.0000 0.0000 0.4286
Te1 0.0000 0.0000 0.8331
```

Computed properties:
energy = -57.44 eV for the cell shown

Record 4
Material: PmHo2Te
Method: DFT, PBE
State: relaxed

The structure in CIF format:
```
data_PmHo2Te
_chemical_formula_sum 'Pm3 Ho6 Te3'
_symmetry_space_group_name_H-M 'R -3 m'
_symmetry_Int_Tables_number 166
_symmetry_space_group_name_Hall '-R 3 2"'
_cell_length_a 3.8138
_cell_length_b 3.8138
_cell_length_c 32.4171
_cell_angle_alpha 90.00
_cell_angle_beta 90.00
_cell_angle_gamma 120.00
loop_
_atom_site_label
_atom_site_fract_x
_atom_site_fract_y
_atom_site_fract_z
Pm1 0.0000 0.0000 0.0000
Ho1 0.0000 0.0000 0.1033
Te1 0.0000 0.0000 0.5000
```

Computed properties:
energy = -53.85 eV for the cell shown

Record 5
Material: Pm5Ho3Te8
Method: DFT, PBE
State: relaxed

The structure in CIF format:
```
data_Pm5Ho3Te8
_chemical_formula_sum 'Pm15 Ho9 Te24'
_symmetry_space_group_name_H-M 'R -3 m'
_symmetry_Int_Tables_number 166
_symmetry_space_group_name_Hall '-R 3 2"'
_cell_length_a 8.8008
_cell_length_b 8.8008
_cell_length_c 21.8317
_cell_angle_alpha 90.00
_cell_angle_beta 90.00
_cell_angle_gamma 120.00
loop_
_atom_site_label
_atom_site_fract_x
_atom_site_fract_y
_atom_site_fract_z
Pm1 0.0000 0.0000 0.0000
Pm2 0.0000 0.0000 0.5000
Pm3 0.0000 0.5000 0.0000
Ho1 0.0000 0.5000 0.5000
Te1 0.0000 0.0000 0.2461
Te2 0.0052 0.5026 0.7526
```

Computed properties:
energy = -252.37 eV for the cell shown

Record 6
Material: PmHoTe3
Method: DFT, PBE
State: relaxed

The structure in CIF format:
```
data_PmHoTe3
_chemical_formula_sum 'Pm4 Ho4 Te12'
_symmetry_space_group_name_H-M 'C m c m'
_symmetry_Int_Tables_number 63
_symmetry_space_group_name_Hall '-C 2c 2'
_cell_length_a 4.2902
_cell_length_b 14.2206
_cell_length_c 10.7910
_cell_angle_alpha 90.00
_cell_angle_beta 90.00
_cell_angle_gamma 90.00
loop_
_atom_site_label
_atom_site_fract_x
_atom_site_fract_y
_atom_site_fract_z
Pm1 0.0000 0.2487 0.2500
Ho1 0.0000 0.0000 0.0000
Te1 0.0000 0.0911 0.7500
Te2 0.0000 0.3531 0.5634
```

Computed properties:
energy = -103.05 eV for the cell shown

Number 1: formation energy without anion corrections -2.33 eV per formula unit, density 8.1 Mg/m³. Number 2: formation energy without anion corrections -2.27 eV per formula unit, density 7.7 Mg/m³. Number 3: formation energy without anion corrections -2.10 eV per formula unit, density 7.8 Mg/m³. Number 4: formation energy without anion corrections -0.90 eV per formula unit, density 7.3 Mg/m³. Number 5: formation energy without anion corrections -21.50 eV per formula unit, density 7.6 Mg/m³. Number 6: formation energy without anion corrections -7.01 eV per formula unit, density 7.0 Mg/m³.